<i>
Tc2IrI: relaxed, GGA-PBE.

The structure in extended XYZ format:
```
4
Lattice="0.000 3.201 3.201 3.201 0.000 3.201 3.201 3.201 0.000" Properties=species:S:1:pos:R:3 pbc="T T T"
Ir 3.201 3.201 3.201
I 0.000 0.000 0.000
Tc 4.801 4.801 4.801
Tc 1.600 1.600 1.600
```

Values from the calculation:
As for the symmetry: Fm-3m, No. 225. As for the total magnetic moment: 0.00 μB per formula unit.

***

<ii>
Tc2IrI: relaxed, GGA-PBE.

The structure in extended XYZ format:
```
8
Lattice="5.848 0.000 0.000 0.000 5.848 0.000 2.924 2.924 5.654" Properties=species:S:1:pos:R:3 pbc="T T T"
Tc 4.593 1.462 1.413
Tc 4.386 4.179 4.240
Tc 7.310 7.517 4.240
Tc 1.255 4.386 1.413
I 2.924 2.924 0.000
I 2.924 5.848 2.827
Ir 5.848 2.924 2.827
Ir 0.000 0.000 0.000
```

Values from the calculation:
As for the symmetry: I-42d, No. 122. As for the total magnetic moment: 0.00 μB per formula unit.

***

What should be chosen as the least stable of them? Choose <ii>.

***

<i>
TeIr2I: relaxed, GGA-PBE.

The structure in extended XYZ format:
```
8
Lattice="-4.239 1.386 -4.165 3.854 -1.597 -4.454 -2.146 -5.428 -4.092" Properties=species:S:1:pos:R:3 pbc="T T T"
Te 0.758 -3.565 -6.428
Te -0.193 -0.106 -4.310
Ir 1.314 -2.173 -4.355
Ir -2.676 -0.700 -4.155
Ir -1.729 -4.161 -6.331
Ir -1.973 -4.245 -10.581
I 0.000 0.000 0.000
I -3.289 -2.074 -6.283
```

Values from the calculation:
As for the symmetry: I-42d, No. 122. As for the total magnetic moment: 0.00 μB per formula unit.

***

<ii>
TeIr2I: relaxed, GGA-PBE.

The structure in extended XYZ format:
```
4
Lattice="2.901 1.460 3.527 0.676 4.685 0.764 -1.837 2.081 3.909" Properties=species:S:1:pos:R:3 pbc="T T T"
Ir 0.435 2.056 2.050
Ir 1.305 6.169 6.150
Te 0.000 0.000 0.000
I 0.870 4.112 4.100
```

Values from the calculation:
As for the symmetry: Fm-3m, No. 225. As for the total magnetic moment: 0.00 μB per formula unit.

***

What should be chosen as the least stable of them? Choose <ii>.

***

<i>
TeIr2I2: relaxed, GGA-PBE.

The structure in extended XYZ format:
```
10
Lattice="-0.895 -1.040 7.222 7.234 0.819 1.014 -0.538 4.102 0.524" Properties=species:S:1:pos:R:3 pbc="T T T"
Ir 0.363 -0.548 4.664
Ir 5.977 0.327 3.572
Ir 3.762 -0.393 6.935
Ir 2.578 0.172 1.300
I 0.750 1.866 2.753
I 4.492 2.420 2.255
I 5.052 2.014 6.007
I 1.310 1.460 6.505
Te 0.000 0.000 0.000
Te 3.170 -0.111 4.118
```

Values from the calculation:
As for the symmetry: P4/mbm, No. 127. As for the total magnetic moment: 0.00 μB per formula unit.

***

<ii>
TeIr2I2: relaxed, GGA-PBE.

The structure in extended XYZ format:
```
5
Lattice="4.688 0.000 0.000 0.000 4.688 0.000 2.344 2.344 5.439" Properties=species:S:1:pos:R:3 pbc="T T T"
Te 0.000 0.000 0.000
I 2.344 4.688 2.720
I 4.688 2.344 2.720
Ir 4.688 4.688 4.181
Ir 2.344 2.344 1.258
```

Values from the calculation:
As for the symmetry: I4/mmm, No. 139. As for the total magnetic moment: 0.00 μB per formula unit.

***

What should be chosen as the least stable of them? Choose <ii>.

***

<i>
TiTeIrI2: relaxed, GGA-PBE.

The structure in extended XYZ format:
```
5
Lattice="-4.950 1.224 1.494 1.104 -1.579 4.951 1.638 5.090 1.258" Properties=species:S:1:pos:R:3 pbc="T T T"
Ti 0.000 0.000 0.000
Te 0.819 2.545 0.629
I -2.475 0.612 0.747
I 0.552 -0.790 2.476
Ir -1.104 2.367 3.852
```

Values from the calculation:
As for the symmetry: P4/mmm, No. 123. As for the total magnetic moment: 2.20 μB per formula unit.

***

<ii>
TiTeIrI2: relaxed, GGA-PBE.

The structure in extended XYZ format:
```
5
Lattice="5.371 0.000 0.000 0.000 5.371 0.000 0.000 0.000 5.320" Properties=species:S:1:pos:R:3 pbc="T T T"
Ti 2.686 2.686 2.660
Te 0.000 0.000 2.660
I 2.686 0.000 0.000
I 0.000 2.686 0.000
Ir 0.000 0.000 0.000
```

Values from the calculation:
As for the symmetry: P4/mmm, No. 123. As for the total magnetic moment: 1.96 μB per formula unit.

***

What should be chosen as the least stable of them? Choose <i>.

***

<i>
TlTeIrI2: relaxed, GGA-PBE.

The structure in extended XYZ format:
```
5
Lattice="5.950 0.000 0.000 0.000 5.950 0.000 0.000 0.000 5.863" Properties=species:S:1:pos:R:3 pbc="T T T"
Tl 0.000 0.000 0.000
I 2.975 0.000 0.000
I 0.000 2.975 0.000
Ir 2.975 2.975 2.931
Te 0.000 0.000 2.931
```

Values from the calculation:
As for the symmetry: P4/mmm, No. 123. As for the total magnetic moment: 3.30 μB per formula unit.

***

<ii>
TlTeIrI2: relaxed, GGA-PBE.

The structure in extended XYZ format:
```
5
Lattice="-3.305 4.644 0.790 -4.701 -3.191 -0.910 -0.261 -1.030 4.962" Properties=species:S:1:pos:R:3 pbc="T T T"
I -2.351 -1.596 -0.455
I -1.653 2.322 0.395
Tl -4.134 0.211 2.421
Te -0.131 -0.515 2.481
Ir 0.000 0.000 0.000
```

Values from the calculation:
As for the symmetry: P4/mmm, No. 123. As for the total magnetic moment: 0.00 μB per formula unit.

***

What should be chosen as the least stable of them? Choose <i>.

***

<i>
TlTe2IrI: relaxed, GGA-PBE.

The structure in extended XYZ format:
```
5
Lattice="-1.211 -5.514 1.049 1.363 0.752 5.527 -5.586 1.452 1.180" Properties=species:S:1:pos:R:3 pbc="T T T"
Tl 0.000 0.000 0.000
Te -0.606 -2.757 0.524
Te 0.682 0.376 2.763
Ir -2.717 -1.655 3.878
I -2.793 0.726 0.590
```

Values from the calculation:
As for the symmetry: P4/mmm, No. 123. As for the total magnetic moment: 3.44 μB per formula unit.

***

<ii>
TlTe2IrI: relaxed, GGA-PBE.

The structure in extended XYZ format:
```
5
Lattice="-1.420 5.057 0.503 -3.530 -1.358 3.679 4.003 0.716 4.105" Properties=species:S:1:pos:R:3 pbc="T T T"
Tl -0.474 2.208 4.143
Te -0.710 2.528 0.251
Te -1.765 -0.679 1.839
Ir 0.000 0.000 0.000
I 2.001 0.358 2.053
```

Values from the calculation:
As for the symmetry: P4/mmm, No. 123. As for the total magnetic moment: 0.00 μB per formula unit.

***

What should be chosen as the least stable of them? Choose <i>.

***

<i>
VTe2IrI: relaxed, GGA-PBE.

The structure in extended XYZ format:
```
5
Lattice="-3.555 1.765 3.189 -3.432 -3.121 -2.098 1.227 -3.611 3.366" Properties=species:S:1:pos:R:3 pbc="T T T"
Ir -2.880 -2.484 2.229
Te -1.777 0.883 1.595
Te -1.716 -1.561 -1.049
I 0.613 -1.806 1.683
V 0.000 0.000 0.000
```

Values from the calculation:
As for the symmetry: P4/mmm, No. 123. As for the total magnetic moment: 0.00 μB per formula unit.

***

<ii>
VTe2IrI: relaxed, GGA-PBE.

The structure in extended XYZ format:
```
5
Lattice="5.250 0.000 0.000 0.000 5.250 0.000 0.000 0.000 5.334" Properties=species:S:1:pos:R:3 pbc="T T T"
Ir 0.000 0.000 0.000
Te 0.000 2.625 0.000
Te 2.625 0.000 0.000
I 0.000 0.000 2.667
V 2.625 2.625 2.667
```

Values from the calculation:
As for the symmetry: P4/mmm, No. 123. As for the total magnetic moment: 0.57 μB per formula unit.

***

What should be chosen as the least stable of them? Choose <i>.

***

<i>
TeIrWI2: relaxed, GGA-PBE.

The structure in extended XYZ format:
```
5
Lattice="5.432 0.000 0.000 0.000 5.432 0.000 0.000 0.000 5.209" Properties=species:S:1:pos:R:3 pbc="T T T"
W 0.000 0.000 0.000
I 2.716 0.000 0.000
I 0.000 2.716 0.000
Te 0.000 0.000 2.605
Ir 2.716 2.716 2.605
```

Values from the calculation:
As for the symmetry: P4/mmm, No. 123. As for the total magnetic moment: 1.53 μB per formula unit.

***

<ii>
TeIrWI2: relaxed, GGA-PBE.

The structure in extended XYZ format:
```
5
Lattice="5.301 0.000 0.000 0.000 5.301 0.000 0.000 0.000 5.342" Properties=species:S:1:pos:R:3 pbc="T T T"
W 2.651 2.651 2.671
Te 0.000 0.000 2.671
Ir 0.000 0.000 0.000
I 0.000 2.651 0.000
I 2.651 0.000 0.000
```

Values from the calculation:
As for the symmetry: P4/mmm, No. 123. As for the total magnetic moment: 3.83 μB per formula unit.

***

What should be chosen as the least stable of them? Choose <i>.